DFT (PBE) results for crystalline BeRePO at its relaxed geometry.

Output
Calculated volume   96.1 Å³ per cell
Energy above the most stable polymorph in this dataset   0.0000 eV per atom

Lattice parameters (Å, degrees): 2.875 5.740 5.822 90.00 90.00 90.00
Fractional positions:
P  0.000  0.231  0.376
P  0.000  0.769  0.876
O  0.500  0.718  0.375
Re  0.500  0.000  0.126
Be  0.000  0.394  0.877
Be  0.000  0.606  0.377
O  0.500  0.282  0.875
Re  0.500  0.000  0.626